Entry 1:
A relaxed structure of Pm4Nd4Dy, computed with PBE-GGA.

Output
As for the raw total energy: -85.11 eV per cell. The formation energy is 0.0134 eV per atom. The total magnetic moment is 0.000 μB/atom.

Lattice parameters (Å, degrees): 10.957 10.957 5.163 90.00 90.00 90.00
Space group I4/mmm (No. 139)
Inequivalent atoms, fractional coordinates:
1 Pm 0.000 0.333 0.000 (multiplicity 8)
2 Nd 0.166 0.166 0.500 (multiplicity 8)
3 Dy 0.000 0.000 0.000 (multiplicity 2)

Entry 2:
A relaxed structure of Pm6Nd16Dy7, computed with PBE-GGA.

Output
As for the raw total energy: -524.37 eV per cell. The formation energy is 0.2038 eV per atom. The total magnetic moment is 0.000 μB/atom.

Lattice parameters (Å, degrees): 16.086 16.086 16.086 90.00 90.00 90.00
Space group Fm-3m (No. 225)
Inequivalent atoms, fractional coordinates:
1 Pm 0.000 0.000 0.231 (multiplicity 24)
2 Nd 0.126 0.126 0.374 (multiplicity 32)
3 Nd 0.151 0.151 0.151 (multiplicity 32)
4 Dy 0.000 0.000 0.500 (multiplicity 4)
5 Dy 0.000 0.250 0.250 (multiplicity 24)

Entry 3:
A relaxed structure of Pm2Nd5Dy2, computed with PBE-GGA.

Output
As for the raw total energy: -84.82 eV per cell. The distance to the lowest polymorph of the same formula is 0.00 kJ/mol of atoms. The formation energy is 0.0149 eV per atom. The total magnetic moment is 0.000 μB/atom.

Lattice parameters (Å, degrees): 11.542 5.156 10.924 90.00 108.61 90.00
Space group C2/m (No. 12)
Inequivalent atoms, fractional coordinates:
1 Pm 0.001 0.000 0.168 (multiplicity 4)
2 Nd 0.000 0.000 0.500 (multiplicity 2)
3 Nd 0.167 0.500 0.055 (multiplicity 4)
4 Nd 0.167 0.500 0.389 (multiplicity 4)
5 Dy 0.167 0.500 0.723 (multiplicity 4)

Entry 4:
A relaxed structure of Pm3Nd5Dy2, computed with PBE-GGA.

Output
As for the raw total energy: -174.94 eV per cell. The distance to the lowest polymorph of the same formula is 17.50 kJ/mol of atoms. The formation energy is 0.3560 eV per atom. The total magnetic moment is 0.000 μB/atom.

Lattice parameters (Å, degrees): 9.518 13.810 11.146 90.00 90.00 90.00
Space group Ibam (No. 72)
Inequivalent atoms, fractional coordinates:
1 Pm 0.000 0.000 0.250 (multiplicity 4)
2 Pm 0.250 0.125 0.000 (multiplicity 8)
3 Nd 0.000 0.249 0.250 (multiplicity 8)
4 Nd 0.000 0.500 0.250 (multiplicity 4)
5 Nd 0.101 0.377 0.000 (multiplicity 8)
6 Dy 0.087 0.124 0.500 (multiplicity 8)

Entry 5:
A relaxed structure of PmNd2Dy8, computed with PBE-GGA.

Output
As for the raw total energy: -99.72 eV per cell. The distance to the lowest polymorph of the same formula is 0.00 kJ/mol of atoms. The formation energy is 0.1132 eV per atom. The total magnetic moment is 0.000 μB/atom.

Lattice parameters (Å, degrees): 5.549 8.145 16.038 90.00 90.00 90.00
Space group Immm (No. 71)
Inequivalent atoms, fractional coordinates:
1 Pm 0.000 0.000 0.000 (multiplicity 2)
2 Nd 0.000 0.000 0.300 (multiplicity 4)
3 Dy 0.000 0.206 0.500 (multiplicity 4)
4 Dy 0.000 0.293 0.138 (multiplicity 8)
5 Dy 0.000 0.500 0.339 (multiplicity 4)

Entry 6:
A relaxed structure of Pm3Nd2Dy6, computed with PBE-GGA.

Output
As for the raw total energy: -98.75 eV per cell. The distance to the lowest polymorph of the same formula is 0.00 kJ/mol of atoms. The formation energy is 0.1841 eV per atom. The total magnetic moment is 0.000 μB/atom.

Lattice parameters (Å, degrees): 6.180 10.728 11.729 90.00 100.22 90.00
Space group C2/m (No. 12)
Inequivalent atoms, fractional coordinates:
1 Pm 0.000 0.000 0.000 (multiplicity 2)
2 Pm 0.000 0.336 0.000 (multiplicity 4)
3 Nd 0.000 0.167 0.500 (multiplicity 4)
4 Dy 0.250 0.000 0.750 (multiplicity 4)
5 Dy 0.250 0.167 0.250 (multiplicity 8)

Entry 7:
A relaxed structure of Pm4NdDy2, computed with PBE-GGA.

Output
As for the raw total energy: -64.27 eV per cell. The distance to the lowest polymorph of the same formula is 5.93 kJ/mol of atoms. The formation energy is 0.1196 eV per atom. The total magnetic moment is 0.000 μB/atom.

Lattice parameters (Å, degrees): 6.178 6.670 11.793 90.00 104.81 90.00
Space group P2_1/m (No. 11)
Inequivalent atoms, fractional coordinates:
1 Pm 0.140 0.000 0.287 (multiplicity 4)
2 Pm 0.207 0.250 0.559 (multiplicity 2)
3 Pm 0.343 0.750 0.851 (multiplicity 2)
4 Nd 0.493 0.750 0.153 (multiplicity 2)
5 Dy 0.099 0.250 0.001 (multiplicity 2)
6 Dy 0.355 0.750 0.564 (multiplicity 2)

Entry 8:
A relaxed structure of Pm4Nd5Dy2, computed with PBE-GGA.

Output
As for the raw total energy: -101.07 eV per cell. The distance to the lowest polymorph of the same formula is 4.89 kJ/mol of atoms. The formation energy is 0.1372 eV per atom. The total magnetic moment is 0.000 μB/atom.

Lattice parameters (Å, degrees): 24.350 3.515 8.938 90.00 97.02 90.00
Space group C2/m (No. 12)
Inequivalent atoms, fractional coordinates:
1 Pm 0.045 0.000 0.362 (multiplicity 4)
2 Pm 0.177 0.500 0.471 (multiplicity 4)
3 Nd 0.000 0.500 0.000 (multiplicity 2)
4 Nd 0.140 0.000 0.115 (multiplicity 4)
5 Nd 0.230 0.000 0.822 (multiplicity 4)
6 Dy 0.091 0.000 0.733 (multiplicity 4)

no.,DOS(E_F) (states/eV/atom)
1,1.54
2,1.43
3,1.51
4,1.49
5,1.37
6,1.54
7,1.54
8,1.61